# SrCuTe2

SrCuTe2 after structural relaxation (PBE, OQMD).

Values from the calculation:
Energy: -3.11 eV per atom
V: 444.1 Å³/cell
Space-group type: F-43m

```
SrCuTe2
1.0
7.629 0.000 0.000
0.000 7.629 0.000
0.000 0.000 7.629
Sr Cu Te
4 4 8
Direct
0.000 0.000 0.000
0.000 0.500 0.500
0.500 0.000 0.500
0.500 0.500 0.000
0.250 0.250 0.250
0.250 0.750 0.750
0.750 0.250 0.750
0.750 0.750 0.250
0.000 0.000 0.500
0.000 0.500 0.000
0.250 0.250 0.750
0.250 0.750 0.250
0.500 0.000 0.000
0.500 0.500 0.500
0.750 0.250 0.250
0.750 0.750 0.750
```

# TmSiIr

TmSiIr after structural relaxation (PBE, OQMD).

Values from the calculation:
Total magnetic moment: 0.003 μB/f.u.
Energy: -6.60 eV per atom
V: 158.5 Å³/cell
Space-group type: P-62m

```
TmSiIr
1.0
7.764 0.000 0.000
-3.882 6.724 0.000
0.000 0.000 3.037
Tm Si Ir
3 3 3
Direct
0.000 0.288 0.000
0.288 0.000 0.000
0.712 0.712 0.000
0.000 0.000 0.500
0.333 0.667 0.000
0.667 0.333 0.000
0.000 0.608 0.500
0.392 0.392 0.500
0.608 0.000 0.500
```

# ZrU

ZrU after structural relaxation (PBE, OQMD).

Values from the calculation:
Total magnetic moment: 0.010 μB/f.u.
V: 210.1 Å³/cell
Space-group type: F-43m
Energy above the lowest structure with this stoichiometry: 1901.9 meV per atom
Calculated formation energy: 2.017 eV per atom

```
ZrU
1.0
5.945 0.000 0.000
0.000 5.945 0.000
0.000 0.000 5.945
Zr U
4 4
Direct
0.000 0.000 0.000
0.000 0.500 0.500
0.500 0.000 0.500
0.500 0.500 0.000
0.250 0.250 0.250
0.250 0.750 0.750
0.750 0.250 0.750
0.750 0.750 0.250
```

# TcNiSbMo

TcNiSbMo after structural relaxation (PBE, OQMD).

Values from the calculation:
Total magnetic moment: 0.103 μB/f.u.
V: 246.4 Å³/cell
Space-group type: F-43m
Energy above the lowest structure with this stoichiometry: 0.0 meV per atom

```
TcNiSbMo
1.0
6.269 0.000 0.000
0.000 6.269 0.000
0.000 0.000 6.269
Tc Ni Sb Mo
4 4 4 4
Direct
0.000 0.000 0.000
0.000 0.500 0.500
0.500 0.000 0.500
0.500 0.500 0.000
0.000 0.000 0.500
0.000 0.500 0.000
0.500 0.000 0.000
0.500 0.500 0.500
0.250 0.250 0.250
0.250 0.750 0.750
0.750 0.250 0.750
0.750 0.750 0.250
0.250 0.250 0.750
0.250 0.750 0.250
0.750 0.250 0.250
0.750 0.750 0.750
```

# NdEr2Mg3CdHg2

NdEr2Mg3CdHg2 after structural relaxation (PBE, OQMD).

Values from the calculation:
Total magnetic moment: 0.010 μB/f.u.
Energy: -2.57 eV per atom
V: 224.7 Å³/cell
Space-group type: Amm2

```
NdEr2Mg3CdHg2
1.0
4.685 0.000 0.000
0.000 6.523 3.676
0.000 -6.523 3.676
Nd Er Mg Cd Hg
1 2 3 1 2
Direct
0.000 0.000 0.000
0.000 0.151 0.578
0.000 0.578 0.151
0.500 0.330 0.330
0.500 0.575 0.815
0.500 0.815 0.575
0.000 0.564 0.564
0.500 0.250 0.908
0.500 0.908 0.250
```

# TmPaNb

TmPaNb after structural relaxation (PBE, OQMD).

Values from the calculation:
Total magnetic moment: 0.100 μB/f.u.
V: 322.4 Å³/cell
Space-group type: F-43m
Energy above the lowest structure with this stoichiometry: 0.0 meV per atom
Calculated formation energy: 0.661 eV per atom

```
TmPaNb
1.0
6.857 0.000 0.000
0.000 6.857 0.000
0.000 0.000 6.857
Tm Pa Nb
4 4 4
Direct
0.000 0.000 0.000
0.000 0.500 0.500
0.500 0.000 0.500
0.500 0.500 0.000
0.000 0.000 0.500
0.000 0.500 0.000
0.500 0.000 0.000
0.500 0.500 0.500
0.250 0.250 0.750
0.250 0.750 0.250
0.750 0.250 0.250
0.750 0.750 0.750
```